Here is an optimized crystal structure of TmNpIn2Te4 from the Alexandria database. Energies are from PBE.

Results
E_form (uncorrected) = -0.703 eV/atom
total magnetization = 4.0 μB per formula unit
symmetry = P2/m
DOS(E_F) = 7.16 states/eV/f.u.

Lattice parameters (Å, degrees): 7.668 4.398 8.499 90.00 107.34 90.00
Sites, in units of the cell vectors:
Tm  0.000  0.000  0.000
Np  0.500  0.500  0.000
In  0.000  0.500  0.500
In  0.500  0.000  0.500
Te  0.232  0.500  0.217
Te  0.254  0.000  0.781
Te  0.746  0.000  0.219
Te  0.768  0.500  0.783